DFT (GGA+U) results for a relaxed structure of LiYNiO2.

## Properties
Its calculated volume is 12.11 Å³ per atom. The calculation puts the uncorrected energy at -0.187 Ha/atom.

a b c (Å): 4.0341 4.0341 3.7202
angles (deg): 90.00 90.00 90.00
Closest atoms and distances in Å follow each position.
Space group P4/mmm (No. 123)
One atom of each set of equivalent atoms:
Li  0.0000  0.0000  0.0000 x1  2 Ni 1.86
Y  0.5000  0.5000  0.0000 x1  8 O 2.74, 4 Li 2.85
Ni  0.0000  0.0000  0.5000 x1  2 Li 1.86, 4 O 2.02
O  0.0000  0.5000  0.5000 x2  2 Ni 2.02